1.
Entry from OQMD via LeMat-Bulk: a geometry-optimized Sm9Sb5O5 structure (PBE-GGA).

Values from the calculation:
Final energy, eV/f.u.: -128.834

a b c (Å): 10.064 10.064 9.060
angles (deg): 90.00 90.00 90.00
Atoms (fractional coordinates):
O (0.250, 0.250, 0.066)
O (0.870, 0.026, 0.089)
O (0.630, 0.474, 0.089)
O (0.026, 0.630, 0.089)
O (0.474, 0.870, 0.089)
O (0.526, 0.130, 0.911)
O (0.974, 0.370, 0.911)
O (0.370, 0.526, 0.911)
O (0.130, 0.974, 0.911)
O (0.750, 0.750, 0.934)
Sb (0.554, 0.154, 0.301)
Sb (0.946, 0.346, 0.301)
Sb (0.346, 0.554, 0.301)
Sb (0.154, 0.946, 0.301)
Sb (0.750, 0.750, 0.315)
Sb (0.250, 0.250, 0.685)
Sb (0.846, 0.054, 0.699)
Sb (0.654, 0.446, 0.699)
Sb (0.054, 0.654, 0.699)
Sb (0.446, 0.846, 0.699)
Sm (0.832, 0.524, 0.001)
Sm (0.524, 0.668, 0.001)
Sm (0.976, 0.832, 0.001)
Sm (0.668, 0.976, 0.001)
Sm (0.250, 0.250, 0.331)
Sm (0.854, 0.045, 0.345)
Sm (0.646, 0.455, 0.345)
Sm (0.045, 0.646, 0.345)
Sm (0.455, 0.854, 0.345)
Sm (0.545, 0.146, 0.655)
Sm (0.955, 0.354, 0.655)
Sm (0.354, 0.545, 0.655)
Sm (0.146, 0.955, 0.655)
Sm (0.750, 0.750, 0.669)
Sm (0.332, 0.024, 0.999)
Sm (0.024, 0.168, 0.999)
Sm (0.476, 0.332, 0.999)
Sm (0.168, 0.476, 0.999)

=====

2.
Entry from OQMD via LeMat-Bulk: a geometry-optimized Sm2Sb2O5 structure (PBE-GGA).

Values from the calculation:
Energy above the lowest structure with this stoichiometry, eV per atom: 0.000

a b c (Å): 9.683 3.854 3.854
angles (deg): 90.00 90.00 90.00
Atoms (fractional coordinates):
O (0.134, 0.500, 0.000)
O (0.866, 0.500, 0.000)
O (0.134, 0.000, 0.500)
O (0.866, 0.000, 0.500)
O (0.500, 0.500, 0.500)
Sb (0.000, 0.000, 0.000)
Sb (0.500, 0.000, 0.000)
Sm (0.256, 0.500, 0.500)
Sm (0.744, 0.500, 0.500)

=====

3.
Entry from OQMD via LeMat-Bulk: a geometry-optimized Sm2Sb2O5 structure (PBE-GGA).

Values from the calculation:
Energy above the lowest structure with this stoichiometry, eV per atom: 0.348

a b c (Å): 7.637 4.149 4.149
angles (deg): 90.00 90.00 90.00
Each line ends with the local moment (μB).
Atoms (fractional coordinates):
O (0.289, 0.500, 0.000)  0.01
O (0.711, 0.500, 0.000)  0.01
O (0.289, 0.000, 0.500)  0.01
O (0.711, 0.000, 0.500)  0.01
O (0.500, 0.500, 0.500)  0.00
Sb (0.224, 0.500, 0.500)  0.01
Sb (0.776, 0.500, 0.500)  0.01
Sm (0.000, 0.000, 0.000)  0.17
Sm (0.500, 0.000, 0.000)  0.00